VASP calculation (meta-GGA SCAN) on a PBEsol-optimized structure of Te3P.

The structure in CIF format:
```
data_Te3P
_chemical_formula_sum 'Te12 P4'
_cell_length_a 4.0151
_cell_length_b 4.0151
_cell_length_c 29.3479
_cell_angle_alpha 90.00
_cell_angle_beta 90.00
_cell_angle_gamma 90.00
_space_group_name_H-M_alt 'I 4/m m m'
_space_group_IT_number 139
_space_group_name_Hall '-I 4 2'
loop_
_atom_site_label
_atom_site_type_symbol
_atom_site_fract_x
_atom_site_fract_y
_atom_site_fract_z
Te1 Te 0.0000 0.0000 0.1263
Te2 Te 0.0000 0.5000 0.0000
Te3 Te 0.0000 0.5000 0.2500
P1 P 0.0000 0.0000 0.3891
```

Computed properties:
Raw formation energy   0.502 eV/atom